1.
The following is a PBE-GGA calculation of an optimized crystal structure of Tb2PmNdH, from the Alexandria database.

Values from the calculation:
**SG**: No. 123
**Volume**: 131.0 Å³/f.u.
**Electronic total energy**: -23.0 eV/cell

Cell lengths 5.091, 5.073, 5.073 Å; angles 90.00, 90.00, 90.00 degrees
Positions (direct):
H  0.000  0.000  0.000
Nd  0.500  0.500  0.500
Pm  0.500  0.000  0.000
Tb  0.000  0.500  0.000
Tb  0.000  0.000  0.500

=====

2.
The following is a PBE-GGA calculation of an optimized crystal structure of Li2Mg2NpO6, from the Alexandria database.

Values from the calculation:
**Formation energy (no corrections)**: -2.535 eV/atom
**SG**: No. 12
**Volume**: 127.0 Å³/f.u.
**Electronic total energy**: -77.6 eV/cell

Cell lengths 5.419, 5.419, 5.280 Å; angles 99.66, 99.66, 119.67 degrees
Positions (direct):
Li  0.800  0.200  0.000
O  0.055  0.396  0.725
O  0.750  0.750  0.708
Mg  0.335  0.665  0.500
O  0.945  0.604  0.275
O  0.396  0.055  0.725
Mg  0.665  0.335  0.500
Li  0.200  0.800  0.000
Np  0.000  0.000  0.500
O  0.250  0.250  0.292
O  0.604  0.945  0.275

=====

3.
The following is a PBE-GGA calculation of an optimized crystal structure of BaTcHgO6, from the Alexandria database.

Values from the calculation:
**Formation energy (no corrections)**: -1.285 eV/atom
**SG**: No. 1
**Volume**: 158.8 Å³/f.u.
**Electronic total energy**: -53.9 eV/cell

Cell lengths 5.773, 6.107, 5.328 Å; angles 95.63, 92.68, 58.15 degrees
Positions (direct):
O  0.507  0.074  0.227
O  0.331  0.032  0.669
O  0.998  0.395  0.346
Hg  0.689  0.708  0.572
O  0.350  0.583  0.292
O  0.623  0.276  0.676
Ba  0.044  0.015  0.024
O  0.103  0.573  0.735
Tc  0.355  0.345  0.458

=====

4.
The following is a PBE-GGA calculation of an optimized crystal structure of Ac4AgTe2Rh, from the Alexandria database.

Values from the calculation:
**Formation energy (no corrections)**: -0.957 eV/atom
**SG**: No. 10
**Volume**: 283.8 Å³/f.u.
**Electronic total energy**: -40.6 eV/cell

Cell lengths 4.470, 7.813, 8.508 Å; angles 107.25, 90.00, 90.00 degrees
Positions (direct):
Rh  0.500  0.500  0.000
Ac  0.000  0.275  0.785
Ac  0.500  0.741  0.779
Te  0.500  0.000  0.500
Ac  0.500  0.259  0.221
Ac  0.000  0.725  0.215
Ag  0.000  0.000  0.000
Te  0.000  0.500  0.500